[1]
First-principles (PBE) data for a geometry-optimized Pm6As3P2O structure, as listed in Alexandria via LeMat-Bulk.

Unit cell a=9.142 b=9.142 c=8.218 alpha=103.12 beta=103.12 gamma=26.02
Fractional positions:
Pm  0.000  0.000  0.237
Pm  0.000  0.000  0.763
Pm  0.331  0.331  0.419
Pm  0.344  0.344  0.918
Pm  0.656  0.656  0.082
Pm  0.669  0.669  0.581
As  0.169  0.169  0.837
As  0.500  0.500  0.500
As  0.831  0.831  0.163
P  0.164  0.164  0.330
P  0.836  0.836  0.670
O  0.500  0.500  0.000

Values from the calculation:
ΔE_f (raw) = -1.677 eV/atom



[2]
First-principles (PBE) data for a geometry-optimized NdEuPb structure, as listed in Alexandria via LeMat-Bulk.

Unit cell a=5.463 b=5.463 c=3.836 alpha=90.00 beta=90.00 gamma=120.00
Fractional positions:
Nd  0.000  0.000  0.000
Eu  0.667  0.333  0.567
Pb  0.333  0.667  0.253

Values from the calculation:
E above lowest polymorph = 41 meV/atom
energy of formation = -0.291 eV per atom